# Li3Tm3SnS8 PBE relaxed
data_Li3Tm3SnS8
_chemical_formula_sum 'Li3 Tm3 Sn1 S8'
_cell_length_a 7.605
_cell_length_b 7.605
_cell_length_c 7.605
_cell_angle_alpha 60.70
_cell_angle_beta 60.70
_cell_angle_gamma 60.70
_space_group_name_H-M_alt 'P 1'
_space_group_IT_number 1
_space_group_name_Hall 'P 1'
loop_
_atom_site_label
_atom_site_type_symbol
_atom_site_fract_x
_atom_site_fract_y
_atom_site_fract_z
Li1 Li 0.000 0.500 0.500
Li2 Li 0.500 0.000 0.500
Li3 Li 0.500 0.500 0.000
Tm1 Tm 0.000 0.000 0.500
Tm2 Tm 0.000 0.500 0.000
Tm3 Tm 0.500 0.000 0.000
Sn1 Sn 0.500 0.500 0.500
S1 S 0.248 0.248 0.248
S2 S 0.259 0.259 0.738
S3 S 0.259 0.738 0.259
S4 S 0.262 0.741 0.741
S5 S 0.738 0.259 0.259
S6 S 0.741 0.262 0.741
S7 S 0.741 0.741 0.262
S8 S 0.752 0.752 0.752
# Magnetization in μB/f.u.: 0.000
# Formation energy without anion corrections in meV per atom: -1550
# Symmetry: R-3m



# ZrRe2Ag PBE relaxed
data_ZrRe2Ag
_chemical_formula_sum 'Zr1 Re2 Ag1'
_cell_length_a 2.634
_cell_length_b 4.520
_cell_length_c 5.830
_cell_angle_alpha 90.00
_cell_angle_beta 90.00
_cell_angle_gamma 90.00
_space_group_name_H-M_alt 'P 1'
_space_group_IT_number 1
_space_group_name_Hall 'P 1'
loop_
_atom_site_label
_atom_site_type_symbol
_atom_site_fract_x
_atom_site_fract_y
_atom_site_fract_z
Zr1 Zr 0.000 0.000 0.000
Re1 Re 0.500 0.500 0.277
Re2 Re 0.500 0.500 0.723
Ag1 Ag 0.000 0.000 0.500
# Magnetization in μB/f.u.: 0.000
# ΔH_f (0 K) in kJ/mol of atoms: 41
# Energy relative to the lowest polymorph listed for this composition in eV per formula unit: 1.216
# Symmetry: Pmmm



# MgNi PBE relaxed
data_MgNi
_chemical_formula_sum 'Mg2 Ni2'
_cell_length_a 5.240
_cell_length_b 5.240
_cell_length_c 5.240
_cell_angle_alpha 147.43
_cell_angle_beta 131.05
_cell_angle_gamma 60.03
_space_group_name_H-M_alt 'P 1'
_space_group_IT_number 1
_space_group_name_Hall 'P 1'
loop_
_atom_site_label
_atom_site_type_symbol
_atom_site_fract_x
_atom_site_fract_y
_atom_site_fract_z
Mg1 Mg 0.357 0.107 0.250
Mg2 Mg 0.643 0.893 0.750
Ni1 Ni 0.108 0.358 0.750
Ni2 Ni 0.892 0.642 0.250
# Magnetization in μB/f.u.: 0.000
# ΔH_f (0 K) in kJ/mol of atoms: -9
# Symmetry: Imma